i:
## NdInSn3 (PBE)

Data for NdInSn3 after structural relaxation.

Results
For the total moment, the calculation gives 0.00 μB per atom. As for the space group: P-1 (2).

a = 7.678 Å, b = 6.432 Å, c = 6.583 Å
α = 121.13°, β = 90.09°, γ = 48.86°
Fractional coordinates of all 5 atoms:
Nd  0.000  0.000  0.000
In  0.500  0.000  0.000
Sn  0.000  0.000  0.500
Sn  0.000  0.500  0.500
Sn  0.000  0.500  0.000

***

ii:
## NdInSn3 (PBE)

Data for NdInSn3 after structural relaxation.

Results
For the total moment, the calculation gives 0.00 μB per atom. As for the space group: Pbcm (57).

a = 6.494 Å, b = 6.387 Å, c = 13.353 Å
α = 90.00°, β = 90.00°, γ = 90.00°
Fractional coordinates of all 20 atoms:
Nd  0.750  0.508  0.691
Nd  0.250  0.492  0.309
Nd  0.750  0.008  0.309
Nd  0.250  0.992  0.691
In  0.500  0.250  0.116
In  0.000  0.750  0.884
In  0.500  0.750  0.884
In  0.000  0.250  0.116
Sn  0.000  0.250  0.499
Sn  0.500  0.750  0.501
Sn  0.000  0.750  0.501
Sn  0.500  0.250  0.499
Sn  0.250  0.212  0.917
Sn  0.750  0.788  0.083
Sn  0.250  0.712  0.083
Sn  0.750  0.288  0.917
Sn  0.250  0.488  0.715
Sn  0.750  0.512  0.285
Sn  0.250  0.988  0.285
Sn  0.750  0.012  0.715

***

Sorted by energy, starting with the most stable: ii, i.

***

i:
## Nd5InSn2 (PBE)

Data for Nd5InSn2 after structural relaxation.

Results
For the total moment, the calculation gives 0.00 μB per atom. As for the space group: I4/mmm (139).

a = 7.067 Å, b = 7.067 Å, c = 6.897 Å
α = 120.84°, β = 120.82°, γ = 90.01°
Fractional coordinates of all 8 atoms:
Nd  0.722  0.222  0.944
Nd  0.222  0.222  0.944
Nd  0.722  0.722  0.944
Nd  0.222  0.722  0.944
Nd  0.722  0.722  0.444
In  0.222  0.222  0.444
Sn  0.222  0.722  0.444
Sn  0.722  0.222  0.444

***

ii:
## Nd5InSn2 (PBE)

Data for Nd5InSn2 after structural relaxation.

Results
For the total moment, the calculation gives 0.04 μB per atom. As for the space group: I4/mcm (140).

a = 8.357 Å, b = 8.357 Å, c = 9.373 Å
α = 116.47°, β = 116.47°, γ = 90.00°
Fractional coordinates of all 16 atoms:
Nd  0.520  0.684  0.703
Nd  0.816  0.980  0.297
Nd  0.000  0.000  0.000
Nd  0.500  0.500  0.000
Nd  0.184  0.020  0.703
Nd  0.684  0.184  0.703
Nd  0.020  0.520  0.703
Nd  0.316  0.816  0.297
Nd  0.980  0.480  0.297
Nd  0.480  0.316  0.297
In  0.750  0.750  0.500
In  0.250  0.250  0.500
Sn  0.132  0.368  0.000
Sn  0.632  0.132  0.000
Sn  0.368  0.868  0.000
Sn  0.868  0.632  0.000

***

Sorted by energy, starting with the most stable: ii, i.

***

i:
## NdIn4Sn (PBE)

Data for NdIn4Sn after structural relaxation.

Results
For the total moment, the calculation gives 0.00 μB per atom. As for the space group: F-43m (216).

a = 6.123 Å, b = 6.123 Å, c = 6.123 Å
α = 60.00°, β = 60.00°, γ = 60.00°
Fractional coordinates of all 6 atoms:
Nd  0.250  0.250  0.250
Sn  0.000  0.000  0.000
In  0.625  0.625  0.125
In  0.625  0.125  0.625
In  0.625  0.625  0.625
In  0.125  0.625  0.625

***

ii:
## NdIn4Sn (PBE)

Data for NdIn4Sn after structural relaxation.

Results
For the total moment, the calculation gives 0.52 μB per atom. As for the space group: F-43m (216).

a = 9.746 Å, b = 9.746 Å, c = 9.746 Å
α = 60.00°, β = 60.00°, γ = 60.00°
Last column: magnetic moment on the atom in μB.
Fractional coordinates of all 6 atoms:
Nd  0.500  0.500  0.500  0.57
In  0.632  0.105  0.632  0.12
In  0.632  0.632  0.105  0.12
In  0.105  0.632  0.632  0.12
In  0.632  0.632  0.632  0.12
Sn  0.750  0.750  0.750  -0.03

***

Sorted by energy, starting with the most stable: i, ii.

***

i:
## SrNdTlIn (PBE)

Data for SrNdTlIn after structural relaxation.

Results
For the total moment, the calculation gives 0.00 μB per atom. As for the space group: P4mm (99).

a = 3.955 Å, b = 3.955 Å, c = 8.101 Å
α = 90.00°, β = 90.00°, γ = 90.00°
Fractional coordinates of all 4 atoms:
Sr  0.000  0.000  0.858
Nd  0.000  0.000  0.355
Tl  0.500  0.500  0.592
In  0.500  0.500  0.123

***

ii:
## SrNdTlIn (PBE)

Data for SrNdTlIn after structural relaxation.

Results
For the total moment, the calculation gives 0.00 μB per atom. As for the space group: F-43m (216).

a = 5.633 Å, b = 5.633 Å, c = 5.633 Å
α = 60.00°, β = 60.00°, γ = 60.00°
Fractional coordinates of all 4 atoms:
Sr  0.250  0.250  0.250
Tl  0.500  0.500  0.500
Nd  0.750  0.750  0.750
In  0.000  0.000  0.000

***

Sorted by energy, starting with the most stable: i, ii.

***

i:
## Tb8Nd2In (PBE)

Data for Tb8Nd2In after structural relaxation.

Results
For the total moment, the calculation gives 0.00 μB per atom. As for the space group: C2/m (12).

a = 4.983 Å, b = 7.938 Å, c = 9.402 Å
α = 104.75°, β = 105.37°, γ = 90.00°
Fractional coordinates of all 11 atoms:
Tb  0.411  0.557  0.822
Tb  0.680  0.909  0.359
Tb  0.866  0.825  0.732
Tb  0.956  0.275  0.912
Tb  0.134  0.175  0.268
Tb  0.320  0.091  0.641
Tb  0.589  0.443  0.178
Tb  0.044  0.725  0.088
Nd  0.778  0.364  0.555
Nd  0.222  0.636  0.445
In  0.500  0.000  0.000

***

ii:
## Tb8Nd2In (PBE)

Data for Tb8Nd2In after structural relaxation.

Results
For the total moment, the calculation gives 0.00 μB per atom. As for the space group: P-1 (2).

a = 6.143 Å, b = 6.138 Å, c = 9.353 Å
α = 96.44°, β = 90.17°, γ = 99.63°
Fractional coordinates of all 11 atoms:
Tb  0.407  0.455  0.827
Tb  0.679  0.087  0.354
Tb  0.858  0.191  0.731
Tb  0.960  0.736  0.911
Tb  0.142  0.809  0.269
Tb  0.321  0.913  0.646
Tb  0.593  0.545  0.173
Tb  0.040  0.264  0.089
Nd  0.778  0.636  0.539
Nd  0.222  0.364  0.461
In  0.500  0.000  0.000

***

Sorted by energy, starting with the most stable: i, ii.

***

i:
## Tb6Nd2In (PBE)

Data for Tb6Nd2In after structural relaxation.

Results
For the total moment, the calculation gives 0.00 μB per atom. As for the space group: Immm (71).

a = 3.521 Å, b = 10.250 Å, c = 9.669 Å
α = 122.01°, β = 100.45°, γ = 90.00°
Fractional coordinates of all 9 atoms:
Tb  0.177  0.339  0.354
Tb  0.823  0.985  0.646
Tb  0.823  0.661  0.646
Tb  0.500  0.295  0.000
Tb  0.177  0.015  0.354
Tb  0.500  0.705  0.000
Nd  0.151  0.651  0.303
Nd  0.849  0.349  0.697
In  0.000  0.000  0.000

***

ii:
## Tb6Nd2In (PBE)

Data for Tb6Nd2In after structural relaxation.

Results
For the total moment, the calculation gives 0.00 μB per atom. As for the space group: P-1 (2).

a = 6.594 Å, b = 10.249 Å, c = 9.029 Å
α = 73.15°, β = 95.15°, γ = 79.58°
Fractional coordinates of all 18 atoms:
Tb  0.291  0.391  0.542
Tb  0.540  0.061  0.813
Tb  0.709  0.609  0.458
Tb  0.460  0.939  0.187
Tb  0.232  0.057  0.479
Tb  0.633  0.376  0.862
Tb  0.768  0.943  0.521
Tb  0.367  0.624  0.138
Tb  0.081  0.936  0.854
Tb  0.060  0.590  0.811
Tb  0.919  0.064  0.146
Tb  0.940  0.410  0.189
Nd  0.163  0.743  0.417
Nd  0.515  0.733  0.774
Nd  0.837  0.257  0.583
Nd  0.485  0.267  0.226
In  0.835  0.747  0.089
In  0.165  0.253  0.911

***

Sorted by energy, starting with the most stable: ii, i.

***

i:
## TbNd3In4 (PBE)

Data for TbNd3In4 after structural relaxation.

Results
For the total moment, the calculation gives 0.05 μB per atom. As for the space group: Immm (71).

a = 3.628 Å, b = 7.196 Å, c = 10.329 Å
α = 110.39°, β = 100.11°, γ = 90.00°
Last column: magnetic moment on the atom in μB.
Fractional coordinates of all 8 atoms:
Tb  0.500  0.000  0.000  0.24
Nd  0.000  0.500  0.000  0.00
Nd  0.219  0.219  0.437  0.01
Nd  0.781  0.781  0.563  0.01
In  0.375  0.586  0.749  0.00
In  0.625  0.414  0.251  0.00
In  0.626  0.838  0.251  0.00
In  0.374  0.162  0.749  0.00

***

ii:
## TbNd3In4 (PBE)

Data for TbNd3In4 after structural relaxation.

Results
For the total moment, the calculation gives 0.00 μB per atom. As for the space group: P4/mmm (123).

a = 3.847 Å, b = 3.847 Å, c = 15.430 Å
α = 90.00°, β = 90.00°, γ = 90.00°
Fractional coordinates of all 8 atoms:
Nd  0.500  0.500  0.246
Nd  0.500  0.500  0.500
Nd  0.500  0.500  0.754
Tb  0.500  0.500  0.000
In  0.000  0.000  0.883
In  0.000  0.000  0.117
In  0.000  0.000  0.373
In  0.000  0.000  0.627

***

Sorted by energy, starting with the most stable: ii, i.

***

i:
## Tb6NdIn2 (PBE)

Data for Tb6NdIn2 after structural relaxation.

Results
For the total moment, the calculation gives 0.00 μB per atom. As for the space group: C2/m (12).

a = 4.796 Å, b = 6.028 Å, c = 10.478 Å
α = 73.77°, β = 76.77°, γ = 66.56°
Fractional coordinates of all 9 atoms:
Tb  0.673  0.542  0.113
Tb  0.327  0.458  0.887
Tb  0.329  0.787  0.554
Tb  0.006  0.661  0.328
Tb  0.994  0.339  0.672
Tb  0.671  0.213  0.446
Nd  0.000  0.000  0.000
In  0.336  0.108  0.221
In  0.664  0.892  0.779

***

ii:
## Tb6NdIn2 (PBE)

Data for Tb6NdIn2 after structural relaxation.

Results
For the total moment, the calculation gives 0.00 μB per atom. As for the space group: I-42m (121).

a = 5.650 Å, b = 5.650 Å, c = 11.355 Å
α = 104.41°, β = 104.41°, γ = 90.00°
Fractional coordinates of all 9 atoms:
Tb  0.872  0.262  0.134
Tb  0.738  0.738  0.866
Tb  0.262  0.872  0.134
Tb  0.128  0.128  0.866
Tb  0.750  0.250  0.500
Tb  0.250  0.750  0.500
Nd  0.500  0.500  0.000
In  0.189  0.189  0.379
In  0.811  0.811  0.621

***

Sorted by energy, starting with the most stable: i, ii.